Entry 1:
Below is a relaxed structure of CaIn3Ga, with properties calculated at the PBE-GGA level.

As for the energy: -2.8299 eV/atom. The calculated formation energy is -0.181 eV/atom. The energy above the most stable polymorph in this dataset comes out at 0.038 eV per atom.

It has space group Pmmn (No. 59, origin choice 2), with a = 4.6978 Å, b = 7.7032 Å, c = 7.3103 Å, α = 90.00°, β = 90.00° and γ = 90.00°. The distinct sites, in fractional coordinates, are Ca at (0.2500, 0.2500, 0.2257), In at (0.2500, 0.0505, 0.7691), In at (0.2500, 0.7500, 0.4545) and Ga at (0.2500, 0.7500, 0.0600).


Entry 2:
Below is a relaxed structure of Er2Pt3Au3, with properties calculated at the PBE-GGA level.

As for the energy: -5.4946 eV/atom. The calculated formation energy is -0.860 eV/atom.

It has space group R32 (No. 155, hexagonal axes), with a = 7.9575 Å, b = 7.9575 Å, c = 8.4067 Å, α = 90.00°, β = 90.00° and γ = 120.00°. The distinct sites, in fractional coordinates, are Er at (0.0000, 0.0000, 0.2127), Pt at (0.0000, 0.3027, 0.0000) and Au at (0.0000, 0.7558, 0.5000).


Entry 3:
Below is a relaxed structure of TiTeSeI2, with properties calculated at the PBE-GGA level.

As for the energy: -3.4276 eV/atom. As for the energy relative to the elements, uncorrected: 9 kJ per mole of atoms. The energy above the most stable polymorph in this dataset comes out at 0.000 eV per atom.

It has space group P4/mmm (No. 123), with a = 5.3542 Å, b = 5.3542 Å, c = 5.5608 Å, α = 90.00°, β = 90.00° and γ = 90.00°. The distinct sites, in fractional coordinates, are Ti at (0.0000, 0.0000, 0.0000), Te at (0.0000, 0.0000, 0.5000), Se at (0.5000, 0.5000, 0.5000) and I at (0.0000, 0.5000, 0.0000).


Entry 4:
Below is a relaxed structure of PmAlTe2, with properties calculated at the PBE-GGA level.

As for the energy: -4.2325 eV/atom. As for the energy relative to the elements, uncorrected: -52 kJ per mole of atoms.

It has space group P3_221 (No. 154), with a = 4.5004 Å, b = 4.5004 Å, c = 28.0045 Å, α = 90.00°, β = 90.00° and γ = 120.00°. The distinct sites, in fractional coordinates, are Pm at (0.0000, 0.6710, 0.3333), Al at (0.0000, 0.6646, 0.8333) and Te at (0.0043, 0.6667, 0.7302).


Entry 5:
Below is a relaxed structure of Ba6Tl3H2, with properties calculated at the PBE-GGA level.

As for the energy: -2.6316 eV/atom.

It has space group I4/mmm (No. 139), with a = 5.6971 Å, b = 5.6971 Å, c = 26.4322 Å, α = 90.00°, β = 90.00° and γ = 90.00°. The distinct sites, in fractional coordinates, are Ba at (0.0000, 0.0000, 0.2041), Ba at (0.0000, 0.5000, 0.0817), Tl at (0.0000, 0.0000, 0.3359), Tl at (0.0000, 0.0000, 0.5000) and H at (0.0000, 0.0000, 0.1005).


Entry 6:
Below is a relaxed structure of Sr4SBr6, with properties calculated at the PBE-GGA level.

As for the energy: -4.0010 eV/atom. As for the energy relative to the elements, uncorrected: -203 kJ per mole of atoms.

It has space group P4_2/nmc (No. 137, origin choice 2), with a = 10.2280 Å, b = 10.2280 Å, c = 7.3962 Å, α = 90.00°, β = 90.00° and γ = 90.00°. The distinct sites, in fractional coordinates, are Sr at (0.0019, 0.2500, 0.0708), S at (0.2500, 0.7500, 0.7500), Br at (0.0400, 0.5400, 0.2500) and Br at (0.2500, 0.2500, 0.3302).


Entry 7:
Below is a relaxed structure of Rb2TaI7, with properties calculated at the PBE-GGA level.

As for the energy: -3.1994 eV/atom. As for the energy relative to the elements, uncorrected: -71 kJ per mole of atoms. The energy above the most stable polymorph in this dataset comes out at 0.000 eV per atom.

It has space group C2/c (No. 15), with a = 18.8786 Å, b = 9.2696 Å, c = 13.5499 Å, α = 90.00°, β = 127.46° and γ = 90.00°. The distinct sites, in fractional coordinates, are Rb at (0.1248, 0.1482, 0.0265), Ta at (0.0000, 0.2976, 0.2500), I at (0.0000, 0.3880, 0.7500), I at (0.0962, 0.0300, 0.2567), I at (0.0955, 0.2891, 0.5003) and I at (0.1608, 0.3921, 0.2773).


Entry 8:
Below is a relaxed structure of Rb3Ca2RhO6, with properties calculated at the PBE-GGA level.

As for the energy: -5.3139 eV/atom. As for the energy relative to the elements, uncorrected: -159 kJ per mole of atoms.

It has space group C2/m (No. 12), with a = 5.9345 Å, b = 10.2679 Å, c = 6.6909 Å, α = 90.00°, β = 107.14° and γ = 90.00°. The distinct sites, in fractional coordinates, are Rb at (0.0000, 0.0000, 0.0000), Rb at (0.0000, 0.3323, 0.0000), Ca at (0.0000, 0.1664, 0.5000), Rh at (0.0000, 0.5000, 0.5000), O at (0.2040, 0.3548, 0.6751) and O at (0.2324, 0.5000, 0.3223).


Entry 9:
Below is a relaxed structure of K2SmZnF8, with properties calculated at the PBE-GGA level.

As for the energy: -4.7676 eV/atom. As for the energy relative to the elements, uncorrected: -274 kJ per mole of atoms.

It has space group P-1 (No. 2), with a = 3.9848 Å, b = 6.2607 Å, c = 7.9260 Å, α = 84.02°, β = 88.90° and γ = 86.76°. The distinct sites, in fractional coordinates, are K at (0.0120, 0.0284, 0.2391), Sm at (0.5000, 0.5000, 0.5000), Zn at (0.5000, 0.5000, 0.0000), F at (0.0046, 0.2969, 0.4760), F at (0.1155, 0.6890, 0.0357), F at (0.4654, 0.2295, 0.7151) and F at (0.4757, 0.3479, 0.2279).


Entry 10:
Below is a relaxed structure of Sm2AlAg2, with properties calculated at the PBE-GGA level.

As for the energy: -4.0712 eV/atom. The calculated formation energy is -0.294 eV/atom. The energy above the most stable polymorph in this dataset comes out at 0.000 eV per atom.

It has space group C2/m (No. 12), with a = 10.9539 Å, b = 4.5161 Å, c = 11.1426 Å, α = 90.00°, β = 117.39° and γ = 90.00°. The distinct sites, in fractional coordinates, are Sm at (0.0100, 0.0000, 0.3380), Sm at (0.1948, 0.0000, 0.1108), Al at (0.2230, 0.5000, 0.3489), Ag at (0.0160, 0.5000, 0.8811) and Ag at (0.1475, 0.5000, 0.5633).


Entry 11:
Below is a relaxed structure of CaEuN, with properties calculated at the PBE-GGA level.

As for the energy: -7.6179 eV/atom. As for the energy relative to the elements, uncorrected: -72 kJ per mole of atoms. The energy above the most stable polymorph in this dataset comes out at 0.000 eV per atom.

It has space group P3m1 (No. 156), with a = 3.6302 Å, b = 3.6302 Å, c = 6.5199 Å, α = 90.00°, β = 90.00° and γ = 120.00°. The distinct sites, in fractional coordinates, are Ca at (0.0000, 0.0000, 0.0000), Eu at (0.6667, 0.3333, 0.4082) and N at (0.3333, 0.6667, 0.2063).


Entry 12:
Below is a relaxed structure of ZnPtBr, with properties calculated at the PBE-GGA level.

As for the energy: -2.9314 eV/atom. As for the energy relative to the elements, uncorrected: 6 kJ per mole of atoms. The energy above the most stable polymorph in this dataset comes out at 0.063 eV per atom.

It has space group Imm2 (No. 44), with a = 3.5985 Å, b = 3.6321 Å, c = 10.3086 Å, α = 90.00°, β = 90.00° and γ = 90.00°. The distinct sites, in fractional coordinates, are Zn at (0.0000, 0.0000, 0.0000), Pt at (0.0000, 0.0000, 0.4923) and Br at (0.0000, 0.0000, 0.7331).


Entry 13:
Below is a relaxed structure of AcCdSbPt, with properties calculated at the PBE-GGA level.

As for the energy: -4.3001 eV/atom. As for the energy relative to the elements, uncorrected: -49 kJ per mole of atoms.

It has space group F-43m (No. 216), with a = 7.4244 Å, b = 7.4244 Å, c = 7.4244 Å, α = 90.00°, β = 90.00° and γ = 90.00°. The distinct sites, in fractional coordinates, are Ac at (0.0000, 0.0000, 0.0000), Cd at (0.2500, 0.2500, 0.2500), Sb at (0.0000, 0.0000, 0.5000) and Pt at (0.2500, 0.2500, 0.7500).


Entry 14:
Below is a relaxed structure of LaMg3Cd, with properties calculated at the PBE-GGA level.

As for the energy: -2.1973 eV/atom. The calculated formation energy is -0.072 eV/atom. The energy above the most stable polymorph in this dataset comes out at 0.058 eV per atom.

It has space group P6_3/mmc (No. 194), with a = 7.1322 Å, b = 7.1322 Å, c = 6.0185 Å, α = 90.00°, β = 90.00° and γ = 120.00°. The distinct sites, in fractional coordinates, are La at (0.3333, 0.6667, 0.2500), Mg at (0.1933, 0.3866, 0.7500) and Cd at (0.0000, 0.0000, 0.0000).


Entry 15:
Below is a relaxed structure of MnAlRe2, with properties calculated at the PBE-GGA level.

As for the energy: -9.3882 eV/atom. The calculated formation energy is 0.064 eV/atom.

It has space group Cmm2 (No. 35), with a = 3.0949 Å, b = 4.3889 Å, c = 8.3861 Å, α = 90.00°, β = 90.00° and γ = 90.00°. The distinct sites, in fractional coordinates, are Mn at (0.0000, 0.0000, 0.0000), Al at (0.0000, 0.5000, 0.2385), Re at (0.0000, 0.0000, 0.4975) and Re at (0.0000, 0.5000, 0.7620).


Entry 16:
Below is a relaxed structure of MnAlGa2, with properties calculated at the PBE-GGA level.

As for the energy: -4.5899 eV/atom. The calculated formation energy is 0.152 eV/atom.

It has space group R-3m (No. 166, hexagonal axes), with a = 4.3542 Å, b = 4.3542 Å, c = 11.9744 Å, α = 90.00°, β = 90.00° and γ = 120.00°. The distinct sites, in fractional coordinates, are Mn at (0.0000, 0.0000, 0.0000), Al at (0.0000, 0.0000, 0.5000) and Ga at (0.0000, 0.0000, 0.2526).


Entry 17:
Below is a relaxed structure of Rb4InGe3Br12, with properties calculated at the PBE-GGA level.

As for the energy: -3.1002 eV/atom. As for the energy relative to the elements, uncorrected: -104 kJ per mole of atoms.

It has space group Im-3m (No. 229), with a = 11.1985 Å, b = 11.1985 Å, c = 11.1985 Å, α = 90.00°, β = 90.00° and γ = 90.00°. The distinct sites, in fractional coordinates, are Rb at (0.2500, 0.2500, 0.2500), In at (0.0000, 0.0000, 0.0000), Ge at (0.0000, 0.0000, 0.5000), Br at (0.0000, 0.0000, 0.2544) and Br at (0.0000, 0.2500, 0.5000).


Entry 18:
Below is a relaxed structure of NdPuRh, with properties calculated at the PBE-GGA level.

As for the energy: -8.9990 eV/atom. The calculated formation energy is -0.182 eV/atom. The energy above the most stable polymorph in this dataset comes out at 0.241 eV per atom.

It has space group P3m1 (No. 156), with a = 4.6483 Å, b = 4.6483 Å, c = 3.9506 Å, α = 90.00°, β = 90.00° and γ = 120.00°. The distinct sites, in fractional coordinates, are Nd at (0.0000, 0.0000, 0.0000), Pu at (0.3333, 0.6667, 0.5555) and Rh at (0.6667, 0.3333, 0.3620).


Entry 19:
Below is a relaxed structure of La7PdCl12, with properties calculated at the PBE-GGA level.

As for the energy: -5.0671 eV/atom. As for the energy relative to the elements, uncorrected: -191 kJ per mole of atoms.

It has space group R-3 (No. 148, hexagonal axes), with a = 15.5415 Å, b = 15.5415 Å, c = 9.1869 Å, α = 90.00°, β = 90.00° and γ = 120.00°. The distinct sites, in fractional coordinates, are La at (0.0000, 0.0000, 0.0000), La at (0.0365, 0.1693, 0.3108), Pd at (0.0000, 0.0000, 0.5000), Cl at (0.0367, 0.5781, 0.1625) and Cl at (0.0407, 0.1842, 0.8457).


Entry 20:
Below is a relaxed structure of YCrN3, with properties calculated at the PBE-GGA level.

As for the energy: -8.7289 eV/atom. As for the energy relative to the elements, uncorrected: -50 kJ per mole of atoms.

It has space group Pm-3m (No. 221), with a = 3.7454 Å, b = 3.7454 Å, c = 3.7454 Å, α = 90.00°, β = 90.00° and γ = 90.00°. The distinct sites, in fractional coordinates, are Y at (0.0000, 0.0000, 0.0000), Cr at (0.5000, 0.5000, 0.5000) and N at (0.0000, 0.5000, 0.5000).